## Sr3MnSn2O9 (PBE with a Hubbard U)

Data for an optimized crystal structure of Sr3MnSn2O9.

a b c (Å): 5.696 5.696 6.975
angles (deg): 90.00 90.00 120.00
Fractional positions:
Sr (0.000, 0.000, 0.000)
Sr (0.333, 0.667, 0.661)
Sr (0.667, 0.333, 0.339)
Mn (0.000, 0.000, 0.500)
Sn (0.333, 0.667, 0.173)
Sn (0.667, 0.333, 0.827)
O (0.000, 0.500, 0.000)
O (0.161, 0.322, 0.341)
O (0.161, 0.839, 0.341)
O (0.322, 0.161, 0.659)
O (0.500, 0.000, 0.000)
O (0.500, 0.500, 0.000)
O (0.678, 0.839, 0.341)
O (0.839, 0.161, 0.659)
O (0.839, 0.678, 0.659)

Calculated values
- E (eV/atom) = -6.46
- space-group type = P-3m1 (164)
- spin magnetization (μB/f.u.) = 3.011